Material: U2PtRh
Method: DFT, PBE-GGA
State: relaxed

Values from the calculation:
**ΔH_f (0 K)**: 6 meV/atom
**Calculated total energy**: -35.94 eV/cell
**SG**: R-3m (166)
**DOS(E_F)**: 9.5 states/eV/cell
**Total magnetization**: 3.467 Bohr magnetons per cell

a = 10.4813 Å, b = 10.4813 Å, c = 10.4813 Å
α = 16.05°, β = 16.05°, γ = 16.05°
Closest atoms and distances in Å follow each position.
Element x y z (fractional)
U 0.0885 0.0885 0.0885  1 Pt 2.75, 6 U 2.93, 3 Rh 2.96
U 0.9115 0.9115 0.9115  1 Pt 2.75, 6 U 2.93, 3 Rh 2.96
Pt 0.0000 0.0000 0.0000  2 U 2.75, 6 Pt 2.93
Rh 0.5000 0.5000 0.5000  6 Rh 2.93, 6 U 2.96